An optimized crystal structure of SrPaRh2O8, computed with PBE.

```
12
Lattice="-3.732 -1.061 -4.066 -1.650 0.101 5.371 -1.318 6.666 -0.530" Properties=species:S:1:pos:R:3 pbc="T T T"
O -3.833 4.986 -2.915
O -2.866 0.720 3.691
O -1.056 0.916 1.654
O -3.026 5.351 -0.330
O -3.219 4.142 1.874
O -3.480 1.563 -1.098
O -3.673 0.355 1.106
O -5.643 4.790 -0.878
Rh -3.120 -0.259 -0.953
Rh -3.579 5.965 1.729
Sr -0.659 3.333 -0.265
Pa 0.000 0.000 0.000
```

Output
Energy relative to the elements, uncorrected (eV per atom): -1.262
SG: P-3 (147)